B3TeRh | Alexandria | PBE | relaxed; symmetry = Pm-3m (221); DOS at the Fermi energy = 3.20 states/eV/f.u.; formation energy without anion corrections = 2.4559 eV/atom; relative energy among the computed polymorphs = 120.74 kJ/mol of atoms
1.0
-0.8492 -4.2433 -0.3914
4.1827 -0.7537 -0.9039
0.8149 -0.5535 4.2320
B Te Rh
3 1 1
Direct
0.0000 0.5000 0.0000
0.0000 0.0000 0.5000
0.5000 0.0000 0.0000
0.0000 0.0000 0.0000
0.5000 0.5000 0.5000

KBaSr2Ni | Alexandria | PBE | relaxed; symmetry = P4/mmm (123); formation energy from the elements = 0.201 eV per atom; DOS at the Fermi energy = 5.17 states/eV/f.u.; relative energy among the computed polymorphs = 16.12 kJ/mol of atoms
1.0
5.9484 0.0000 0.0000
0.0000 5.9484 0.0000
0.0000 0.0000 6.6083
Sr K Ba Ni
2 1 1 1
Direct
0.0000 0.5000 0.0000
0.5000 0.0000 0.0000
0.0000 0.0000 0.5000
0.5000 0.5000 0.5000
0.0000 0.0000 0.0000

CdTc2Hg | Alexandria | PBE | relaxed; symmetry = P4/mmm (123); formation energy from the elements = 0.812 eV per atom; DOS at the Fermi energy = 3.56 states/eV/f.u.; relative energy among the computed polymorphs = 61.52 kJ/mol of atoms
1.0
3.2671 0.0000 0.0000
0.0000 3.2671 0.0000
0.0000 0.0000 6.4404
Cd Hg Tc
1 1 2
Direct
0.5000 0.5000 0.2500
0.5000 0.5000 0.7500
0.0000 0.0000 0.9973
0.0000 0.0000 0.5027